TlCrPO2: relaxed, PBE+U.

Lattice parameters (Å, degrees): 4.104 4.104 5.565 90.00 90.00 90.00
Element x y z (fractional)
P 0.000 0.000 0.500
Tl 0.000 0.000 0.000
O 0.000 0.500 0.000
O 0.500 0.000 0.000
Cr 0.500 0.500 0.500

Computed properties:
As for the crystal system: tetragonal. The value obtained for the total energy is -4.53 eV/atom.

TmCrP2O8: relaxed, PBE+U.

Lattice parameters (Å, degrees): 5.579 5.579 5.579 106.47 106.47 115.67
Element x y z (fractional)
P 0.500 0.500 0.000
P 0.750 0.250 0.500
O 0.915 0.233 0.318
O 0.915 0.598 0.682
O 0.845 0.668 0.177
O 0.491 0.668 0.823
O 0.767 0.085 0.682
O 0.402 0.085 0.318
O 0.332 0.509 0.177
O 0.332 0.155 0.823
Cr 0.000 0.000 0.000
Tm 0.250 0.750 0.500

Computed properties:
As for the crystal system: tetragonal. The value obtained for the total energy is -7.64 eV/atom.

VCrP4O14: relaxed, PBE+U.

Lattice parameters (Å, degrees): 4.867 6.966 8.083 89.50 89.26 74.70
Element x y z (fractional)
O 0.171 0.076 0.653
O 0.276 0.471 0.368
O 0.978 0.830 0.814
O 0.434 0.724 0.641
O 0.862 0.923 0.170
O 0.562 0.644 0.190
O 0.014 0.178 0.335
O 0.865 0.451 0.570
O 0.708 0.510 0.871
O 0.141 0.532 0.067
O 0.427 0.918 0.913
O 0.555 0.099 0.416
O 0.585 0.278 0.145
O 0.422 0.363 0.674
Cr 0.781 0.732 0.006
P 0.614 0.506 0.695
P 0.246 0.889 0.770
P 0.760 0.110 0.268
P 0.383 0.498 0.187
V 0.215 0.271 0.505

Computed properties:
As for the crystal system: triclinic. The value obtained for the total energy is -7.37 eV/atom.

VCrP2O: relaxed, PBE+U.

Lattice parameters (Å, degrees): 4.753 4.753 3.598 90.00 90.00 90.00
Element x y z (fractional)
V 0.000 0.000 0.000
O 0.000 0.000 0.500
P 0.000 0.500 0.000
P 0.500 0.000 0.000
Cr 0.500 0.500 0.500

Computed properties:
As for the crystal system: tetragonal. The value obtained for the total energy is -6.16 eV/atom.

V3CrP6O24: relaxed, PBE+U.

Lattice parameters (Å, degrees): 8.743 8.743 8.743 57.70 57.70 57.70
Element x y z (fractional)
O 0.502 0.134 0.291
O 0.698 0.963 0.055
O 0.771 0.406 0.601
O 0.601 0.771 0.406
O 0.963 0.055 0.698
O 0.875 0.685 0.513
O 0.685 0.513 0.875
O 0.419 0.227 0.584
O 0.660 0.011 0.746
O 0.261 0.346 0.978
O 0.309 0.023 0.940
O 0.346 0.978 0.261
O 0.011 0.746 0.660
O 0.134 0.291 0.502
O 0.227 0.584 0.419
O 0.055 0.698 0.963
O 0.940 0.309 0.023
O 0.978 0.261 0.346
O 0.023 0.940 0.309
O 0.746 0.660 0.011
O 0.291 0.502 0.134
O 0.513 0.875 0.685
O 0.406 0.601 0.771
O 0.584 0.419 0.227
Cr 0.143 0.143 0.143
P 0.966 0.252 0.529
P 0.252 0.529 0.966
P 0.471 0.032 0.748
P 0.529 0.966 0.252
P 0.032 0.748 0.471
P 0.748 0.471 0.032
V 0.641 0.641 0.641
V 0.361 0.361 0.361
V 0.858 0.858 0.858

Computed properties:
As for the crystal system: trigonal. The value obtained for the total energy is -7.37 eV/atom.

VCr3P6O24: relaxed, PBE+U.

Lattice parameters (Å, degrees): 8.739 8.739 8.739 58.47 58.47 58.47
Element x y z (fractional)
O 0.202 0.367 0.005
O 0.453 0.207 0.570
O 0.570 0.453 0.207
O 0.087 0.726 0.923
O 0.275 0.078 0.919
O 0.140 0.272 0.511
O 0.738 0.484 0.855
O 0.628 0.002 0.797
O 0.078 0.919 0.275
O 0.367 0.005 0.202
O 0.484 0.855 0.738
O 0.789 0.430 0.544
O 0.923 0.087 0.726
O 0.005 0.202 0.367
O 0.511 0.140 0.272
O 0.544 0.789 0.430
O 0.272 0.511 0.140
O 0.855 0.738 0.484
O 0.919 0.275 0.078
O 0.002 0.797 0.628
O 0.797 0.628 0.002
O 0.207 0.570 0.453
O 0.726 0.923 0.087
O 0.430 0.544 0.789
Cr 0.358 0.358 0.358
Cr 0.858 0.858 0.858
Cr 0.642 0.642 0.642
P 0.967 0.249 0.534
P 0.466 0.032 0.752
P 0.249 0.534 0.967
P 0.032 0.752 0.466
P 0.752 0.466 0.032
P 0.534 0.967 0.249
V 0.140 0.140 0.140

Computed properties:
As for the crystal system: trigonal. The value obtained for the total energy is -7.24 eV/atom.